Here is crystalline CdFePdRh at its relaxed geometry from Alexandria. Energies are from PBE.

Values from the calculation:
Calculated formation energy (eV per atom): -0.06
Symmetry: No. 216

abc: 4.444 4.444 4.444
angles: 60.00 60.00 60.00
Element x y z (fractional)
Fe (0.250, 0.250, 0.250)
Rh (0.500, 0.500, 0.500)
Pd (0.000, 0.000, 0.000)
Cd (0.750, 0.750, 0.750)

---

Here is crystalline Cs2TiPt at its relaxed geometry from Alexandria. Energies are from PBE.

Values from the calculation:
E above lowest polymorph (eV per formula unit): 0.00
Calculated formation energy (eV per atom): 0.43
Symmetry: No. 122

abc: 9.777 9.777 9.777
angles: 93.62 93.62 150.88
Element x y z (fractional)
Pt (0.000, 0.000, 0.000)
Ti (0.500, 0.500, 0.000)
Ti (0.750, 0.250, 0.500)
Cs (0.625, 0.795, 0.670)
Cs (0.205, 0.875, 0.830)
Cs (0.045, 0.375, 0.170)
Cs (0.125, 0.955, 0.330)
Pt (0.250, 0.750, 0.500)

---

Here is crystalline Ba5Na4Cd at its relaxed geometry from Alexandria. Energies are from PBE.

Values from the calculation:
Calculated formation energy (eV per atom): -0.06
Symmetry: No. 123

abc: 4.460 4.460 24.252
angles: 90.00 90.00 90.00
Element x y z (fractional)
Na (0.000, 0.000, 0.812)
Na (0.000, 0.000, 0.397)
Ba (0.500, 0.500, 0.500)
Ba (0.500, 0.500, 0.918)
Ba (0.500, 0.500, 0.293)
Ba (0.500, 0.500, 0.707)
Ba (0.500, 0.500, 0.082)
Na (0.000, 0.000, 0.188)
Cd (0.000, 0.000, 0.000)
Na (0.000, 0.000, 0.603)

---

Here is crystalline HoAgAu2 at its relaxed geometry from Alexandria. Energies are from PBE.

Values from the calculation:
Calculated formation energy (eV per atom): -0.56
Symmetry: No. 123

abc: 3.572 3.572 6.396
angles: 90.00 90.00 90.00
Element x y z (fractional)
Au (0.000, 0.000, 0.763)
Ho (0.500, 0.500, 0.500)
Au (0.000, 0.000, 0.237)
Ag (0.500, 0.500, 0.000)

---

Here is crystalline MnVTe6 at its relaxed geometry from Alexandria. Energies are from PBE.

Values from the calculation:
E above lowest polymorph (eV per formula unit): 1.39
Symmetry: No. 166

abc: 7.562 7.158 7.158
angles: 71.70 69.38 110.62
Element x y z (fractional)
Te (0.861, 0.297, 0.000)
Te (0.436, 0.297, 0.703)
Te (0.564, 0.703, 0.297)
Te (0.139, 0.000, 0.297)
Mn (0.500, 0.000, 0.000)
Te (0.139, 0.703, 0.000)
Te (0.861, 0.000, 0.703)
V (0.000, 0.000, 0.000)

---

Here is crystalline CePr6Er2Tm at its relaxed geometry from Alexandria. Energies are from PBE.

Values from the calculation:
Calculated formation energy (eV per atom): 0.23
Symmetry: No. 12

abc: 8.858 7.154 6.678
angles: 122.39 101.06 90.00
Element x y z (fractional)
Pr (0.796, 0.938, 0.339)
Er (0.163, 0.093, 0.186)
Tm (0.500, 0.000, 0.000)
Pr (0.796, 0.401, 0.339)
Er (0.837, 0.907, 0.814)
Pr (0.420, 0.629, 0.257)
Pr (0.204, 0.062, 0.661)
Pr (0.204, 0.599, 0.661)
Pr (0.580, 0.371, 0.743)
Ce (0.000, 0.500, 0.000)

---

Here is crystalline NaCeAg2I8 at its relaxed geometry from Alexandria. Energies are from PBE.

Values from the calculation:
Calculated total energy (eV/atom): -2.7741
Symmetry: No. 119

abc: 8.749 8.749 8.749
angles: 108.38 108.38 111.68
Element x y z (fractional)
Na (0.000, 0.000, 0.000)
Ce (0.250, 0.750, 0.500)
I (0.307, 0.105, 0.798)
Ag (0.500, 0.500, 0.000)
I (0.967, 0.287, 0.320)
I (0.967, 0.646, 0.680)
I (0.895, 0.693, 0.202)
I (0.713, 0.033, 0.680)
I (0.307, 0.510, 0.202)
Ag (0.750, 0.250, 0.500)
I (0.354, 0.033, 0.320)
I (0.490, 0.693, 0.798)

---

Here is crystalline TlAgS3 at its relaxed geometry from Alexandria. Energies are from PBE.

Values from the calculation:
E above lowest polymorph (eV per formula unit): 0.00
Symmetry: No. 62

abc: 7.677 6.572 11.255
angles: 90.00 90.00 90.00
Element x y z (fractional)
Tl (0.250, 0.708, 0.156)
S (0.034, 0.243, 0.649)
Ag (0.500, 0.500, 0.500)
S (0.250, 0.169, 0.247)
S (0.534, 0.757, 0.351)
Ag (0.500, 0.000, 0.000)
S (0.034, 0.257, 0.149)
S (0.250, 0.331, 0.747)
S (0.966, 0.743, 0.851)
S (0.466, 0.243, 0.649)
Tl (0.750, 0.208, 0.344)
Ag (0.000, 0.000, 0.000)
Tl (0.250, 0.792, 0.656)
S (0.750, 0.669, 0.253)
Tl (0.750, 0.292, 0.844)
Ag (0.000, 0.500, 0.500)
S (0.466, 0.257, 0.149)
S (0.534, 0.743, 0.851)
S (0.750, 0.831, 0.753)
S (0.966, 0.757, 0.351)

---

Here is crystalline KTiAl at its relaxed geometry from Alexandria. Energies are from PBE.

Values from the calculation:
E above lowest polymorph (eV per formula unit): 0.44
Calculated formation energy (eV per atom): 0.22
Symmetry: No. 1

abc: 4.908 3.852 11.525
angles: 86.24 100.41 113.04
Element x y z (fractional)
Ti (0.211, 0.970, 0.484)
Ti (0.347, 0.566, 0.344)
Al (0.783, 0.269, 0.418)
Al (0.904, 0.861, 0.262)
K (0.414, 0.156, 0.058)
K (0.745, 0.691, 0.710)

---

Here is crystalline Ru2PtRh3 at its relaxed geometry from Alexandria. Energies are from PBE.

Values from the calculation:
E above lowest polymorph (eV per formula unit): 0.00
Calculated formation energy (eV per atom): 0.01
Symmetry: No. 63

abc: 2.728 7.244 8.864
angles: 90.00 90.00 100.85
Element x y z (fractional)
Rh (0.662, 0.324, 0.502)
Rh (0.108, 0.215, 0.750)
Ru (0.554, 0.109, 0.250)
Pt (0.220, 0.441, 0.250)
Ru (0.000, 0.000, 0.500)
Rh (0.338, 0.676, 0.498)
Rh (0.892, 0.785, 0.250)
Rh (0.662, 0.324, 0.998)
Pt (0.780, 0.559, 0.750)
Rh (0.338, 0.676, 0.002)
Ru (0.446, 0.891, 0.750)
Ru (0.000, 0.000, 0.000)

---

Here is crystalline Ac3Tm2Sn7 at its relaxed geometry from Alexandria. Energies are from PBE.

Values from the calculation:
Calculated formation energy (eV per atom): -0.39
Symmetry: No. 65

abc: 5.330 5.633 13.620
angles: 101.93 90.00 90.00
Element x y z (fractional)
Sn (0.000, 0.000, 0.000)
Sn (0.000, 0.588, 0.175)
Ac (0.500, 0.322, 0.643)
Ac (0.500, 0.500, 0.000)
Tm (0.000, 0.117, 0.234)
Sn (0.000, 0.412, 0.825)
Tm (0.000, 0.883, 0.766)
Sn (0.500, 0.076, 0.152)
Sn (0.000, 0.230, 0.460)
Sn (0.500, 0.924, 0.848)
Sn (0.000, 0.770, 0.540)
Ac (0.500, 0.678, 0.357)

---

Here is crystalline In2Cl2F at its relaxed geometry from Alexandria. Energies are from PBE.

Values from the calculation:
E above lowest polymorph (eV per formula unit): 1.58
Symmetry: No. 127

abc: 7.991 7.991 3.773
angles: 90.00 90.00 90.00
Element x y z (fractional)
Cl (0.361, 0.861, 0.000)
In (0.322, 0.178, 0.500)
In (0.678, 0.822, 0.500)
Cl (0.861, 0.639, 0.000)
F (0.000, 0.000, 0.000)
F (0.500, 0.500, 0.000)
In (0.178, 0.678, 0.500)
Cl (0.639, 0.139, 0.000)
Cl (0.139, 0.361, 0.000)
In (0.822, 0.322, 0.500)

---

Here is crystalline NbTeAsSe2 at its relaxed geometry from Alexandria. Energies are from PBE.

Values from the calculation:
E above lowest polymorph (eV per formula unit): 0.00
Symmetry: No. 123

abc: 4.930 4.930 5.340
angles: 90.00 90.00 90.00
Element x y z (fractional)
Se (0.500, 0.000, 0.000)
Te (0.500, 0.500, 0.500)
Se (0.000, 0.500, 0.000)
Nb (0.000, 0.000, 0.000)
As (0.000, 0.000, 0.500)

---

Here is crystalline PmAlTc at its relaxed geometry from Alexandria. Energies are from PBE.

Values from the calculation:
E above lowest polymorph (eV per formula unit): 0.98
Calculated formation energy (eV per atom): -0.01
Symmetry: No. 15

abc: 5.138 5.141 5.616
angles: 106.55 106.51 107.84
Element x y z (fractional)
Pm (0.891, 0.609, 0.250)
Pm (0.109, 0.391, 0.750)
Al (0.511, 0.989, 0.250)
Tc (0.000, 0.000, 0.000)
Al (0.489, 0.011, 0.750)
Tc (0.500, 0.500, 0.500)

---

Here is crystalline Na3Tb3SiO8 at its relaxed geometry from Alexandria. Energies are from PBE.

Values from the calculation:
Calculated total energy (eV/atom): -6.8578
Symmetry: No. 166

abc: 6.615 6.615 6.728
angles: 119.45 90.00 120.00
Element x y z (fractional)
Na (0.000, 0.000, 0.000)
O (0.785, 0.986, 0.687)
Na (0.000, 0.500, 0.000)
Tb (0.500, 0.500, 0.500)
Si (0.000, 0.000, 0.500)
O (0.799, 0.598, 0.313)
Na (0.500, 0.500, 0.000)
O (0.215, 0.014, 0.313)
Tb (0.000, 0.500, 0.500)
O (0.201, 0.402, 0.687)
O (0.201, 0.986, 0.687)
O (0.738, 0.475, 0.713)
Tb (0.500, 0.000, 0.500)
O (0.799, 0.014, 0.313)
O (0.262, 0.525, 0.287)

---

Here is crystalline LaTh2Cd at its relaxed geometry from Alexandria. Energies are from PBE.

Values from the calculation:
E above lowest polymorph (eV per formula unit): 0.78
Calculated formation energy (eV per atom): 0.18
Symmetry: No. 166

abc: 3.406 3.406 12.609
angles: 82.24 82.24 60.00
Element x y z (fractional)
Cd (0.500, 0.500, 0.500)
Th (0.092, 0.092, 0.724)
La (0.000, 0.000, 0.000)
Th (0.908, 0.908, 0.276)

---

Here is crystalline InSi3Br at its relaxed geometry from Alexandria. Energies are from PBE.

Values from the calculation:
Calculated total energy (eV/atom): -2.8950
Symmetry: No. 221

abc: 5.244 5.244 5.244
angles: 90.00 90.00 90.00
Element x y z (fractional)
Si (0.000, 0.000, 0.500)
Si (0.500, 0.000, 0.000)
Br (0.500, 0.500, 0.500)
In (0.000, 0.000, 0.000)
Si (0.000, 0.500, 0.000)

---

Here is crystalline Sc2CrTc at its relaxed geometry from Alexandria. Energies are from PBE.

Values from the calculation:
E above lowest polymorph (eV per formula unit): 1.13
Calculated formation energy (eV per atom): 0.24
Symmetry: No. 65

abc: 2.899 2.899 8.657
angles: 90.00 90.00 110.97
Element x y z (fractional)
Sc (0.000, 0.000, 0.002)
Cr (0.500, 0.500, 0.750)
Tc (0.500, 0.500, 0.250)
Sc (0.000, 0.000, 0.498)

---

Here is crystalline HgB3Au at its relaxed geometry from Alexandria. Energies are from PBE.

Values from the calculation:
E above lowest polymorph (eV per formula unit): 0.00
Calculated formation energy (eV per atom): 1.74
Symmetry: No. 221

abc: 4.297 4.297 4.297
angles: 90.00 90.00 90.00
Element x y z (fractional)
B (0.500, 0.000, 0.000)
Au (0.000, 0.000, 0.000)
B (0.000, 0.000, 0.500)
B (0.000, 0.500, 0.000)
Hg (0.500, 0.500, 0.500)

---

Here is crystalline DyYZnIn at its relaxed geometry from Alexandria. Energies are from PBE.

Values from the calculation:
Calculated formation energy (eV per atom): -0.41
Symmetry: No. 216

abc: 5.203 5.203 5.203
angles: 60.00 60.00 60.00
Element x y z (fractional)
In (0.500, 0.500, 0.500)
Zn (0.000, 0.000, 0.000)
Dy (0.250, 0.250, 0.250)
Y (0.750, 0.750, 0.750)

---

Here is crystalline LaCuB at its relaxed geometry from Alexandria. Energies are from PBE.

Values from the calculation:
Calculated formation energy (eV per atom): -0.22
Symmetry: No. 63

abc: 3.157 3.744 9.108
angles: 78.14 90.00 90.00
Element x y z (fractional)
Cu (0.750, 0.726, 0.547)
Cu (0.250, 0.274, 0.453)
B (0.250, 0.487, 0.026)
La (0.250, 0.104, 0.792)
La (0.750, 0.896, 0.208)
B (0.750, 0.513, 0.974)

---

Here is crystalline LaTb2Er9 at its relaxed geometry from Alexandria. Energies are from PBE.

Values from the calculation:
E above lowest polymorph (eV per formula unit): 0.00
Calculated formation energy (eV per atom): 0.03
Symmetry: No. 123

abc: 5.003 5.003 15.017
angles: 90.00 90.00 90.00
Element x y z (fractional)
Er (0.500, 0.000, 0.830)
Er (0.000, 0.500, 0.500)
Er (0.500, 0.000, 0.170)
Er (0.500, 0.000, 0.500)
Tb (0.000, 0.000, 0.334)
Er (0.500, 0.500, 0.335)
Er (0.500, 0.500, 0.000)
Er (0.000, 0.500, 0.170)
Tb (0.000, 0.000, 0.666)
La (0.000, 0.000, 0.000)
Er (0.500, 0.500, 0.665)
Er (0.000, 0.500, 0.830)

---

Here is crystalline Na3Hf3BeSe8 at its relaxed geometry from Alexandria. Energies are from PBE.

Values from the calculation:
Calculated total energy (eV/atom): -5.5043
Symmetry: No. 166

abc: 7.585 7.587 8.401
angles: 116.85 90.00 119.98
Element x y z (fractional)
Se (0.259, 0.518, 0.277)
Se (0.741, 0.482, 0.723)
Na (0.500, 0.500, 0.000)
Se (0.228, 0.456, 0.705)
Se (0.772, 0.544, 0.295)
Se (0.251, 0.023, 0.294)
Na (0.000, 0.500, 0.000)
Be (0.000, 0.000, 0.500)
Se (0.749, 0.977, 0.706)
Na (0.000, 0.000, 0.000)
Hf (0.500, 0.000, 0.500)
Se (0.228, 0.977, 0.706)
Se (0.772, 0.023, 0.294)
Hf (0.500, 0.500, 0.500)
Hf (0.000, 0.500, 0.500)